Record 1
# LaDyTe2

A relaxed LaDyTe2 crystal (PBE, Alexandria).

Formation energy (no corrections), kJ/mol of formula units: -504
Relative energy among the computed polymorphs, kJ/mol of formula units: 53.3
Total energy, eV per atom: -5.26
Fermi-level density of states, states/eV per atom: 0.98

Cell: 5.446 5.446 3.874 Å, 90.00 90.00 90.00°
Fractional coordinates of all 4 atoms:
La 0.000 0.000 0.000
Dy 0.500 0.500 0.000
Te 0.000 0.500 0.500
Te 0.500 0.000 0.500

=====

Record 2
# La4DyTe6

A relaxed La4DyTe6 crystal (PBE, Alexandria).

Formation energy (no corrections), kJ/mol of formula units: -1567
Total energy, eV per atom: -5.40
Fermi-level density of states, states/eV per atom: 0.68

Cell: 8.975 8.975 8.975 Å, 90.91 90.91 90.91°
Fractional coordinates of all 22 atoms:
La 0.140 0.750 0.360
La 0.250 0.250 0.250
La 0.250 0.640 0.860
La 0.360 0.140 0.750
La 0.640 0.860 0.250
La 0.750 0.360 0.140
La 0.750 0.750 0.750
La 0.860 0.250 0.640
Dy 0.000 0.000 0.000
Dy 0.500 0.500 0.500
Te 0.060 0.919 0.679
Te 0.081 0.321 0.940
Te 0.179 0.419 0.560
Te 0.321 0.940 0.081
Te 0.419 0.560 0.179
Te 0.440 0.821 0.581
Te 0.560 0.179 0.419
Te 0.581 0.440 0.821
Te 0.679 0.060 0.919
Te 0.821 0.581 0.440
Te 0.919 0.679 0.060
Te 0.940 0.081 0.321

=====

Record 3
# La2DyTe3

A relaxed La2DyTe3 crystal (PBE, Alexandria).

Formation energy (no corrections), kJ/mol of formula units: -859
Relative energy among the computed polymorphs, kJ/mol of formula units: 4.3
Total energy, eV per atom: -5.46
Fermi-level density of states, states/eV per atom: 0.63

Cell: 4.496 6.379 13.539 Å, 90.00 90.00 90.00°
Fractional coordinates of all 12 atoms:
La 0.000 0.000 0.171
La 0.000 0.000 0.829
La 0.500 0.500 0.329
La 0.500 0.500 0.671
Dy 0.000 0.000 0.500
Dy 0.500 0.500 0.000
Te 0.000 0.500 0.157
Te 0.000 0.500 0.500
Te 0.000 0.500 0.843
Te 0.500 0.000 0.000
Te 0.500 0.000 0.343
Te 0.500 0.000 0.657

=====

Record 4
# LaDyTe2

A relaxed LaDyTe2 crystal (PBE, Alexandria).

Formation energy (no corrections), kJ/mol of formula units: -501
Relative energy among the computed polymorphs, kJ/mol of formula units: 56.9
Total energy, eV per atom: -5.25
Fermi-level density of states, states/eV per atom: 0.82

Cell: 7.716 7.716 7.716 Å, 90.00 90.00 90.00°
Fractional coordinates of all 16 atoms:
La 0.000 0.000 0.000
La 0.000 0.500 0.500
La 0.500 0.000 0.500
La 0.500 0.500 0.000
Dy 0.000 0.000 0.500
Dy 0.000 0.500 0.000
Dy 0.500 0.000 0.000
Dy 0.500 0.500 0.500
Te 0.250 0.250 0.250
Te 0.250 0.250 0.750
Te 0.250 0.750 0.250
Te 0.250 0.750 0.750
Te 0.750 0.250 0.250
Te 0.750 0.250 0.750
Te 0.750 0.750 0.250
Te 0.750 0.750 0.750

=====

Record 5
# LaDy3Te6

A relaxed LaDy3Te6 crystal (PBE, Alexandria).

Formation energy (no corrections), kJ/mol of formula units: -1397
Total energy, eV per atom: -5.21

Cell: 12.546 4.424 12.889 Å, 90.00 109.33 90.00°
Fractional coordinates of all 20 atoms:
La 0.048 0.250 0.197
La 0.952 0.750 0.803
Dy 0.155 0.250 0.584
Dy 0.319 0.750 0.999
Dy 0.438 0.250 0.335
Dy 0.562 0.750 0.665
Dy 0.681 0.250 0.001
Dy 0.845 0.750 0.416
Te 0.086 0.750 0.405
Te 0.118 0.250 0.967
Te 0.197 0.750 0.750
Te 0.261 0.750 0.225
Te 0.391 0.250 0.558
Te 0.483 0.250 0.116
Te 0.517 0.750 0.884
Te 0.609 0.750 0.442
Te 0.739 0.250 0.775
Te 0.803 0.250 0.250
Te 0.882 0.750 0.033
Te 0.914 0.250 0.595

=====

Record 6
# La2DyTe4

A relaxed La2DyTe4 crystal (PBE, Alexandria).

Formation energy (no corrections), kJ/mol of formula units: -978
Relative energy among the computed polymorphs, kJ/mol of formula units: 40.8
Total energy, eV per atom: -5.31
Fermi-level density of states, states/eV per atom: 0.39

Cell: 7.866 7.866 15.355 Å, 90.00 90.00 148.08°
Fractional coordinates of all 14 atoms:
La 0.132 0.868 0.573
La 0.132 0.868 0.927
La 0.868 0.132 0.073
La 0.868 0.132 0.427
Dy 0.371 0.629 0.750
Dy 0.629 0.371 0.250
Te 0.019 0.981 0.750
Te 0.217 0.783 0.126
Te 0.217 0.783 0.374
Te 0.500 0.500 0.000
Te 0.500 0.500 0.500
Te 0.783 0.217 0.626
Te 0.783 0.217 0.874
Te 0.981 0.019 0.250

=====

Record 7
# LaDy2Te

A relaxed LaDy2Te crystal (PBE, Alexandria).

Formation energy (no corrections), kJ/mol of formula units: -108
Relative energy among the computed polymorphs, kJ/mol of formula units: 94.4
Total energy, eV per atom: -4.60
Fermi-level density of states, states/eV per atom: 1.71

Cell: 3.825 3.825 32.922 Å, 90.00 90.00 120.00°
Fractional coordinates of all 12 atoms:
La 0.000 0.000 0.000
La 0.333 0.667 0.667
La 0.667 0.333 0.333
Dy 0.000 0.000 0.104
Dy 0.000 0.000 0.896
Dy 0.333 0.667 0.562
Dy 0.333 0.667 0.771
Dy 0.667 0.333 0.229
Dy 0.667 0.333 0.438
Te 0.000 0.000 0.500
Te 0.333 0.667 0.167
Te 0.667 0.333 0.833

=====

Record 8
# LaDyTe2

A relaxed LaDyTe2 crystal (PBE, Alexandria).

Formation energy (no corrections), kJ/mol of formula units: -556
Relative energy among the computed polymorphs, kJ/mol of formula units: 1.4
Total energy, eV per atom: -5.39
Fermi-level density of states, states/eV per atom: 0.43

Cell: 4.343 4.343 23.300 Å, 90.00 90.00 120.00°
Fractional coordinates of all 12 atoms:
La 0.000 0.000 0.000
La 0.333 0.667 0.667
La 0.667 0.333 0.333
Dy 0.000 0.000 0.174
Dy 0.333 0.667 0.841
Dy 0.667 0.333 0.508
Te 0.000 0.000 0.581
Te 0.000 0.000 0.760
Te 0.333 0.667 0.248
Te 0.333 0.667 0.426
Te 0.667 0.333 0.093
Te 0.667 0.333 0.914

=====

Record 9
# La2DyTe

A relaxed La2DyTe crystal (PBE, Alexandria).

Formation energy (no corrections), kJ/mol of formula units: -198
Relative energy among the computed polymorphs, kJ/mol of formula units: 36.2
Total energy, eV per atom: -4.91
Fermi-level density of states, states/eV per atom: 1.53

Cell: 9.885 3.972 7.498 Å, 90.00 105.79 90.00°
Fractional coordinates of all 8 atoms:
La 0.000 0.159 0.000
La 0.000 0.841 0.500
La 0.453 0.159 0.790
La 0.453 0.841 0.290
Dy 0.726 0.499 0.645
Dy 0.726 0.501 0.145
Te 0.226 0.322 0.395
Te 0.226 0.678 0.895

=====

Record 10
# La2DyTe

A relaxed La2DyTe crystal (PBE, Alexandria).

Formation energy (no corrections), kJ/mol of formula units: -225
Relative energy among the computed polymorphs, kJ/mol of formula units: 8.7
Total energy, eV per atom: -4.98
Fermi-level density of states, states/eV per atom: 1.00

Cell: 4.052 4.052 30.250 Å, 90.00 90.00 120.00°
Fractional coordinates of all 12 atoms:
La 0.000 0.000 0.000
La 0.000 0.000 0.187
La 0.333 0.667 0.667
La 0.333 0.667 0.854
La 0.667 0.333 0.333
La 0.667 0.333 0.520
Dy 0.000 0.000 0.760
Dy 0.333 0.667 0.427
Dy 0.667 0.333 0.094
Te 0.000 0.000 0.593
Te 0.333 0.667 0.260
Te 0.667 0.333 0.927

=====

Record 11
# La4Dy3Te8

A relaxed La4Dy3Te8 crystal (PBE, Alexandria).

Formation energy (no corrections), kJ/mol of formula units: -2137
Relative energy among the computed polymorphs, kJ/mol of formula units: 0.0
Total energy, eV per atom: -5.39
Fermi-level density of states, states/eV per atom: 0.56

Cell: 8.926 8.926 8.903 Å, 119.86 119.86 90.05°
Fractional coordinates of all 15 atoms:
La 0.000 0.000 0.000
La 0.000 0.500 0.000
La 0.500 0.000 0.000
La 0.500 0.500 0.500
Dy 0.000 0.500 0.500
Dy 0.500 0.000 0.500
Dy 0.500 0.500 0.000
Te 0.241 0.759 0.500
Te 0.246 0.246 0.511
Te 0.247 0.247 0.983
Te 0.255 0.745 0.000
Te 0.745 0.255 0.000
Te 0.753 0.753 0.017
Te 0.754 0.754 0.489
Te 0.759 0.241 0.500

=====

Record 12
# La3Dy5Te12

A relaxed La3Dy5Te12 crystal (PBE, Alexandria).

Formation energy (no corrections), kJ/mol of formula units: -2507
Total energy, eV per atom: -5.07

Cell: 15.926 15.926 15.926 Å, 109.47 109.47 109.47°
Fractional coordinates of all 80 atoms:
La 0.125 0.250 0.375
La 0.125 0.375 0.750
La 0.250 0.375 0.125
La 0.250 0.875 0.625
La 0.375 0.125 0.250
La 0.375 0.750 0.125
La 0.625 0.250 0.875
La 0.625 0.875 0.750
La 0.750 0.125 0.375
La 0.750 0.625 0.875
La 0.875 0.625 0.250
La 0.875 0.750 0.625
Dy 0.000 0.000 0.000
Dy 0.000 0.000 0.500
Dy 0.000 0.500 0.000
Dy 0.000 0.500 0.500
Dy 0.125 0.750 0.875
Dy 0.125 0.875 0.250
Dy 0.250 0.125 0.875
Dy 0.250 0.625 0.375
Dy 0.375 0.250 0.625
Dy 0.375 0.625 0.750
Dy 0.500 0.000 0.000
Dy 0.500 0.000 0.500
Dy 0.500 0.500 0.000
Dy 0.500 0.500 0.500
Dy 0.625 0.375 0.250
Dy 0.625 0.750 0.375
Dy 0.750 0.375 0.625
Dy 0.750 0.875 0.125
Dy 0.875 0.125 0.750
Dy 0.875 0.250 0.125
Te 0.046 0.220 0.128
Te 0.046 0.326 0.917
Te 0.083 0.628 0.408
Te 0.083 0.954 0.674
Te 0.092 0.720 0.674
Te 0.092 0.872 0.417
Te 0.128 0.046 0.220
Te 0.128 0.583 0.908
Te 0.174 0.220 0.592
Te 0.174 0.454 0.583
Te 0.220 0.128 0.046
Te 0.220 0.592 0.174
Te 0.280 0.326 0.908
Te 0.280 0.454 0.372
Te 0.326 0.908 0.280
Te 0.326 0.917 0.046
Te 0.372 0.280 0.454
Te 0.372 0.592 0.917
Te 0.408 0.083 0.628
Te 0.408 0.826 0.780
Te 0.417 0.092 0.872
Te 0.417 0.826 0.546
Te 0.454 0.372 0.280
Te 0.454 0.583 0.174
Te 0.546 0.417 0.826
Te 0.546 0.628 0.720
Te 0.583 0.174 0.454
Te 0.583 0.908 0.128
Te 0.592 0.174 0.220
Te 0.592 0.917 0.372
Te 0.628 0.408 0.083
Te 0.628 0.720 0.546
Te 0.674 0.083 0.954
Te 0.674 0.092 0.720
Te 0.720 0.546 0.628
Te 0.720 0.674 0.092
Te 0.780 0.408 0.826
Te 0.780 0.872 0.954
Te 0.826 0.546 0.417
Te 0.826 0.780 0.408
Te 0.872 0.417 0.092
Te 0.872 0.954 0.780
Te 0.908 0.128 0.583
Te 0.908 0.280 0.326
Te 0.917 0.046 0.326
Te 0.917 0.372 0.592
Te 0.954 0.674 0.083
Te 0.954 0.780 0.872